# 1
This record from the Alexandria database describes an optimized crystal structure of CsTaAuBr2. The functional is GGA-PBE.

The structure in POSCAR format:
```
CsTaAuBr2
1.0
-2.831 1.810 -3.853
4.961 -4.760 -5.881
-3.204 -3.953 0.497
Br Ta Au Cs
2 1 1 1
direct
0.500 0.000 0.000
0.000 0.000 0.500
0.000 0.000 0.000
0.500 0.500 0.500
0.000 0.500 0.000
```

## Properties
* DOS at the Fermi energy: 1.8 states/eV/cell
* M_tot: 2.76 μB/f.u.
* theoretical density: 4.709 g/cm³
* uncorrected formation energy: 0.76 eV/f.u.

=====

# 2
This record from the Alexandria database describes an optimized crystal structure of LiLaDyGe. The functional is GGA-PBE.

The structure in POSCAR format:
```
LiLaDyGe
1.0
5.177 0.000 0.000
2.588 4.483 0.000
2.588 1.494 4.227
Dy Ge Li La
1 1 1 1
direct
0.000 0.000 0.000
0.250 0.250 0.250
0.750 0.750 0.750
0.500 0.500 0.500
```

## Properties
* DOS at the Fermi energy: 2.8 states/eV/cell
* ΔE_f: -0.41 eV/atom
* M_tot: 0.00 μB/f.u.
* theoretical density: 6.449 g/cm³